Mn3V2Ga2Co | PBE | optimized geometry

```
data_Mn3V2Ga2Co
_chemical_formula_sum 'Mn9 V6 Ga6 Co3'
_symmetry_space_group_name_H-M 'R 3 m'
_symmetry_Int_Tables_number 160
_symmetry_space_group_name_Hall 'R 3 -2"'
_cell_length_a 4.0837
_cell_length_b 4.0837
_cell_length_c 20.0441
_cell_angle_alpha 90.00
_cell_angle_beta 90.00
_cell_angle_gamma 120.00
loop_
_atom_site_label
_atom_site_type_symbol
_atom_site_fract_x
_atom_site_fract_y
_atom_site_fract_z
Mn1 Mn 0.0000 0.0000 0.0000
Mn2 Mn 0.0000 0.0000 0.2500
Mn3 Mn 0.0000 0.0000 0.7488
V1 V 0.0000 0.0000 0.3733
V2 V 0.0000 0.0000 0.8762
Ga1 Ga 0.0000 0.0000 0.1256
Ga2 Ga 0.0000 0.0000 0.6235
Co1 Co 0.0000 0.0000 0.4995
```

=====

MnV2Ga2Co3 | PBE | optimized geometry

```
data_MnV2Ga2Co3
_chemical_formula_sum 'Mn2 V4 Ga4 Co6'
_symmetry_space_group_name_H-M 'P n -3 m'
_symmetry_Int_Tables_number 224
_cell_length_a 5.7519
_cell_length_b 5.7519
_cell_length_c 5.7519
_cell_angle_alpha 90.00
_cell_angle_beta 90.00
_cell_angle_gamma 90.00
loop_
_symmetry_equiv_pos_as_xyz
'x,y,z'
'-x,-y,-z'
'-y,x+1/2,z+1/2'
'y,-x+1/2,-z+1/2'
'-x+1/2,-y+1/2,z'
'x+1/2,y+1/2,-z'
'y+1/2,-x,z+1/2'
'-y+1/2,x,-z+1/2'
'x,-y+1/2,-z+1/2'
'-x,y+1/2,z+1/2'
'-y,-x,-z'
'y,x,z'
'-x+1/2,y,-z+1/2'
'x+1/2,-y,z+1/2'
'y+1/2,x+1/2,-z'
'-y+1/2,-x+1/2,z'
'z,x,y'
'-z,-x,-y'
'z+1/2,-y,x+1/2'
'-z+1/2,y,-x+1/2'
'z,-x+1/2,-y+1/2'
'-z,x+1/2,y+1/2'
'z+1/2,y+1/2,-x'
'-z+1/2,-y+1/2,x'
'-z+1/2,x,-y+1/2'
'z+1/2,-x,y+1/2'
'-z,-y,-x'
'z,y,x'
'-z+1/2,-x+1/2,y'
'z+1/2,x+1/2,-y'
'-z,y+1/2,x+1/2'
'z,-y+1/2,-x+1/2'
'y,z,x'
'-y,-z,-x'
'x+1/2,z+1/2,-y'
'-x+1/2,-z+1/2,y'
'-y+1/2,z,-x+1/2'
'y+1/2,-z,x+1/2'
'-x,z+1/2,y+1/2'
'x,-z+1/2,-y+1/2'
'-y+1/2,-z+1/2,x'
'y+1/2,z+1/2,-x'
'-x,-z,-y'
'x,z,y'
'y,-z+1/2,-x+1/2'
'-y,z+1/2,x+1/2'
'x+1/2,-z,y+1/2'
'-x+1/2,z,-y+1/2'
loop_
_atom_site_label
_atom_site_type_symbol
_atom_site_fract_x
_atom_site_fract_y
_atom_site_fract_z
Mn1 Mn 0.2500 0.2500 0.2500
V1 V 0.0000 0.0000 0.0000
Ga1 Ga 0.0000 0.0000 0.5000
Co1 Co 0.2500 0.2500 0.7500
```

=====

Y2MnGa2Co5 | PBE | optimized geometry

```
data_Y2MnGa2Co5
_chemical_formula_sum 'Y4 Mn2 Ga4 Co10'
_symmetry_space_group_name_H-M 'P 4/m b m'
_symmetry_Int_Tables_number 127
_symmetry_space_group_name_Hall '-P 4 2ab'
_cell_length_a 9.4972
_cell_length_b 9.4972
_cell_length_c 3.3392
_cell_angle_alpha 90.00
_cell_angle_beta 90.00
_cell_angle_gamma 90.00
loop_
_atom_site_label
_atom_site_type_symbol
_atom_site_fract_x
_atom_site_fract_y
_atom_site_fract_z
Y1 Y 0.1739 0.3261 0.0000
Mn1 Mn 0.0000 0.0000 0.0000
Ga1 Ga 0.1246 0.6246 0.0000
Co1 Co 0.0000 0.5000 0.5000
Co2 Co 0.0592 0.8032 0.5000
```

=====

Y2Mn2GaCo5 | PBE | optimized geometry

```
data_Y2Mn2GaCo5
_chemical_formula_sum 'Y4 Mn4 Ga2 Co10'
_symmetry_space_group_name_H-M 'P 4/m b m'
_symmetry_Int_Tables_number 127
_symmetry_space_group_name_Hall '-P 4 2ab'
_cell_length_a 9.4379
_cell_length_b 9.4379
_cell_length_c 3.3296
_cell_angle_alpha 90.00
_cell_angle_beta 90.00
_cell_angle_gamma 90.00
loop_
_atom_site_label
_atom_site_type_symbol
_atom_site_fract_x
_atom_site_fract_y
_atom_site_fract_z
Y1 Y 0.1787 0.3213 0.0000
Mn1 Mn 0.1212 0.6212 0.0000
Ga1 Ga 0.0000 0.0000 0.0000
Co1 Co 0.0000 0.5000 0.5000
Co2 Co 0.0580 0.7976 0.5000
```

=====

ZrMnGaCo | PBE | optimized geometry

```
data_ZrMnGaCo
_chemical_formula_sum 'Zr4 Mn4 Ga4 Co4'
_symmetry_space_group_name_H-M 'F -4 3 m'
_symmetry_Int_Tables_number 216
_symmetry_space_group_name_Hall 'F -4 2 3'
_cell_length_a 6.0932
_cell_length_b 6.0932
_cell_length_c 6.0932
_cell_angle_alpha 90.00
_cell_angle_beta 90.00
_cell_angle_gamma 90.00
loop_
_atom_site_label
_atom_site_type_symbol
_atom_site_fract_x
_atom_site_fract_y
_atom_site_fract_z
Zr1 Zr 0.0000 0.0000 0.0000
Mn1 Mn 0.2500 0.2500 0.2500
Ga1 Ga 0.0000 0.0000 0.5000
Co1 Co 0.2500 0.2500 0.7500
```

=====

Ga2CoMo | PBE | optimized geometry

Energy above the most stable polymorph in this dataset = 0.18 eV per formula unit

```
data_Ga2CoMo
_chemical_formula_sum 'Ga2 Co1 Mo1'
_symmetry_space_group_name_H-M 'P 4/m m m'
_symmetry_Int_Tables_number 123
_symmetry_space_group_name_Hall '-P 4 2'
_cell_length_a 3.9030
_cell_length_b 3.9030
_cell_length_c 3.6570
_cell_angle_alpha 90.00
_cell_angle_beta 90.00
_cell_angle_gamma 90.00
loop_
_atom_site_label
_atom_site_type_symbol
_atom_site_fract_x
_atom_site_fract_y
_atom_site_fract_z
Ga1 Ga 0.0000 0.5000 0.0000
Co1 Co 0.0000 0.0000 0.5000
Mo1 Mo 0.5000 0.5000 0.5000
```

=====

The records above give, respectively, ΔH_f (0 K) values of -194; -225; -106; 7; -80; -15 kJ/mol of formula units.